ReB3: relaxed, GGA-PBE.

The distance to the lowest polymorph of the same formula comes out at 311 meV per atom. The volume comes out at 8.31 Å³/atom. The total magnetization is 0.00 μB per cell. The total DFT energy (no corrections) is -8.092 eV/atom.

The space group is P-3m1 (No. 164) and the conventional cell measures 2.8685, 2.8685 and 4.6656 Å, with angles of 90.00, 90.00 and 120.00 degrees. The asymmetric unit holds Re at (0.0000, 0.0000, 0.0000), B at (0.0000, 0.0000, 0.5000) and B at (0.3333, 0.6667, 0.6680).

---

Re2B: relaxed, GGA-PBE.

The distance to the lowest polymorph of the same formula comes out at 1379 meV per atom. The volume comes out at 29.51 Å³/atom. The total magnetization is 0.09 μB per cell. The total DFT energy (no corrections) is -7.299 eV/atom.

The space group is Fd-3m (No. 227, origin choice 2) and the conventional cell measures 8.914, 8.914 and 8.914 Å, with angles of 90.00, 90.00 and 90.00 degrees. The asymmetric unit holds Re at (0.000, 0.000, 0.000) and B at (0.125, 0.125, 0.125).

---

ReB3: relaxed, GGA-PBE.

The distance to the lowest polymorph of the same formula comes out at 0 meV per atom. The volume comes out at 8.46 Å³/atom. The total magnetization is 0.00 μB per cell. The total DFT energy (no corrections) is -8.402 eV/atom.

The space group is P-6m2 (No. 187) and the conventional cell measures 2.9195, 2.9195 and 4.5856 Å, with angles of 90.00, 90.00 and 120.00 degrees. The asymmetric unit holds Re at (0.0000, 0.0000, 0.0000), B at (0.0000, 0.0000, 0.5000) and B at (0.3333, 0.6667, 0.3196).

---

Re7B3: relaxed, GGA-PBE.

The volume comes out at 12.07 Å³/atom. The total magnetization is 0.00 μB per cell. The total DFT energy (no corrections) is -10.911 eV/atom.

The space group is P6_3mc (No. 186) and the conventional cell measures 7.5343, 7.5343 and 4.9090 Å, with angles of 90.00, 90.00 and 120.00 degrees. The asymmetric unit holds Re at (0.0917, 0.5459, 0.0000), Re at (0.1226, 0.2452, 0.7033), Re at (0.3333, 0.6667, 0.5373) and B at (0.1897, 0.3793, 0.2913).

---

Among the records above, which one has the lowest volume? number 1